VASP calculation (GGA-PBE) on a relaxed MgAs2Pd8 crystal.

Cell and atoms, written as CIF:
```
data_MgAs2Pd8
_cell_length_a 6.8686
_cell_length_b 12.8747
_cell_length_c 4.9161
_cell_angle_alpha 90.00
_cell_angle_beta 126.17
_cell_angle_gamma 90.00
_symmetry_space_group_name_H-M 'C 1 m 1'
_symmetry_Int_Tables_number 8
loop_
_symmetry_equiv_pos_as_xyz
'x,y,z'
'x,-y,z'
'x+1/2,y+1/2,z'
'x+1/2,-y+1/2,z'
loop_
_atom_site_label
_atom_site_type_symbol
_atom_site_fract_x
_atom_site_fract_y
_atom_site_fract_z
Mg1 Mg 0.0000 0.0000 0.0000
As1 As 0.0380 0.3405 0.0427
Pd1 Pd 0.0901 0.5000 0.3696
Pd2 Pd 0.2558 0.3102 0.7745
Pd3 Pd 0.2704 0.1735 0.2469
Pd4 Pd 0.3883 0.0000 0.6892
Pd5 Pd 0.4859 0.3810 0.4827
```

## Properties
DOS(E_F) (states/eV/cell): 10.6
ΔE to the lowest computed polymorph (kJ/mol of formula units): 0
DFT formation energy (eV/atom): -0.4052


VASP calculation (GGA-PBE) on a relaxed SbAsRhI2 crystal.

Cell and atoms, written as CIF:
```
data_SbAsRhI2
_cell_length_a 5.3602
_cell_length_b 5.3602
_cell_length_c 5.1053
_cell_angle_alpha 90.00
_cell_angle_beta 90.00
_cell_angle_gamma 90.00
_symmetry_space_group_name_H-M 'P 4/m m m'
_symmetry_Int_Tables_number 123
_symmetry_space_group_name_Hall '-P 4 2'
loop_
_atom_site_label
_atom_site_type_symbol
_atom_site_fract_x
_atom_site_fract_y
_atom_site_fract_z
Sb1 Sb 0.0000 0.0000 0.0000
As1 As 0.5000 0.5000 0.0000
Rh1 Rh 0.0000 0.0000 0.5000
I1 I 0.0000 0.5000 0.5000
```

## Properties
Raw formation energy (kcal/mol of atoms): 12.62
DOS(E_F) (states/eV/cell): 4.9
ΔE to the lowest computed polymorph (kJ/mol of formula units): 0


VASP calculation (GGA-PBE) on a relaxed YOsO3 crystal.

Cell and atoms, written as CIF:
```
data_YOsO3
_cell_length_a 4.2696
_cell_length_b 4.2696
_cell_length_c 4.2696
_cell_angle_alpha 90.00
_cell_angle_beta 90.00
_cell_angle_gamma 90.00
_symmetry_space_group_name_H-M 'P m -3 m'
_symmetry_Int_Tables_number 221
_symmetry_space_group_name_Hall '-P 4 2 3'
loop_
_atom_site_label
_atom_site_type_symbol
_atom_site_fract_x
_atom_site_fract_y
_atom_site_fract_z
Y1 Y 0.0000 0.0000 0.0000
Os1 Os 0.5000 0.5000 0.5000
O1 O 0.0000 0.0000 0.5000
```

## Properties
Raw formation energy (kcal/mol of atoms): -6.37
DOS(E_F) (states/eV/cell): 1.8


VASP calculation (GGA-PBE) on a relaxed Ac3LaSe4 crystal.

Cell and atoms, written as CIF:
```
data_Ac3LaSe4
_cell_length_a 7.7001
_cell_length_b 8.7965
_cell_length_c 7.6891
_cell_angle_alpha 90.00
_cell_angle_beta 109.30
_cell_angle_gamma 90.00
_symmetry_space_group_name_H-M 'P 1 2/c 1'
_symmetry_Int_Tables_number 13
loop_
_symmetry_equiv_pos_as_xyz
'x,y,z'
'-x,-y,-z'
'-x,y,-z+1/2'
'x,-y,z+1/2'
loop_
_atom_site_label
_atom_site_type_symbol
_atom_site_fract_x
_atom_site_fract_y
_atom_site_fract_z
Ac1 Ac 0.0000 0.1242 0.2500
Ac2 Ac 0.0000 0.3740 0.7500
Ac3 Ac 0.5000 0.3739 0.2500
La1 La 0.5000 0.1237 0.7500
Se1 Se 0.2536 0.3718 0.5034
Se2 Se 0.2562 0.1217 0.0001
```

## Properties
Raw formation energy (kcal/mol of atoms): -43.81
DOS(E_F) (states/eV/cell): 8.3
ΔE to the lowest computed polymorph (kJ/mol of formula units): 0